# Ga2PtAu2

Ga2PtAu2 after structural relaxation (PBE, Alexandria via LeMat-Bulk).

extended XYZ file:
```
10
Lattice="6.840 0.000 0.000 0.000 6.840 0.000 0.000 0.000 3.690" Properties=species:S:1:pos:R:3 pbc="T T T"
Ga 1.037 2.383 0.000
Ga 2.383 5.803 0.000
Ga 4.456 1.037 0.000
Ga 5.803 4.456 0.000
Pt 0.000 0.000 0.000
Pt 3.420 3.420 0.000
Au 1.015 4.434 1.845
Au 2.405 1.015 1.845
Au 4.434 5.825 1.845
Au 5.825 2.405 1.845
```

Results
E_form in kJ/mol of atoms: -14.1
Total DFT energy (no corrections) in eV/atom: -3.876
ΔE to the lowest computed polymorph in eV/atom: 0.095

***

# TmHfSn2

TmHfSn2 after structural relaxation (PBE, Alexandria via LeMat-Bulk).

extended XYZ file:
```
4
Lattice="2.370 1.369 5.125 -2.370 1.369 5.125 0.000 -2.737 5.125" Properties=species:S:1:pos:R:3 pbc="T T T"
Tm 0.000 0.000 0.000
Hf 0.000 0.000 7.688
Sn 0.000 0.000 3.737
Sn 0.000 0.000 11.639
```

Results
E_form in kJ/mol of atoms: -33.0
Total DFT energy (no corrections) in eV/atom: -5.949
ΔE to the lowest computed polymorph in eV/atom: 0.041

***

# CeDy2Zn9

CeDy2Zn9 after structural relaxation (PBE, Alexandria via LeMat-Bulk).

extended XYZ file:
```
12
Lattice="2.725 1.573 8.628 -2.725 1.573 8.628 0.000 -3.146 8.628" Properties=species:S:1:pos:R:3 pbc="T T T"
Ce 0.000 0.000 0.000
Dy 0.000 0.000 3.640
Dy 0.000 0.000 22.244
Zn -1.388 -0.801 10.776
Zn 0.000 0.000 8.669
Zn 0.000 -1.602 15.108
Zn -1.388 0.801 15.108
Zn 0.000 0.000 12.942
Zn 1.388 -0.801 10.776
Zn 0.000 1.602 10.776
Zn 0.000 0.000 17.215
Zn 1.388 0.801 15.108
```

Results
E_form in kJ/mol of atoms: -28.9
Total DFT energy (no corrections) in eV/atom: -2.517

***

Please write out number 1 again, unchanged.
# Ga2PtAu2

Ga2PtAu2 after structural relaxation (PBE, Alexandria via LeMat-Bulk).

extended XYZ file:
```
10
Lattice="6.840 0.000 0.000 0.000 6.840 0.000 0.000 0.000 3.690" Properties=species:S:1:pos:R:3 pbc="T T T"
Ga 1.037 2.383 0.000
Ga 2.383 5.803 0.000
Ga 4.456 1.037 0.000
Ga 5.803 4.456 0.000
Pt 0.000 0.000 0.000
Pt 3.420 3.420 0.000
Au 1.015 4.434 1.845
Au 2.405 1.015 1.845
Au 4.434 5.825 1.845
Au 5.825 2.405 1.845
```

Results
E_form in kJ/mol of atoms: -14.1
Total DFT energy (no corrections) in eV/atom: -3.876
ΔE to the lowest computed polymorph in eV/atom: 0.095

***

- Which of these has the lowest total DFT energy (no corrections)?
  TmHfSn2